(1)
# Pu2PPt3 PBE relaxed
# **Magnetic moment**: 81.99 μB/cell
# **Calculated formation energy**: -0.856 eV per atom
# **E_tot**: -9.5557 eV/atom
# **D(E_F)**: 184.8 states/eV/cell
data_Pu2PPt3
_chemical_formula_sum 'Pu16 P8 Pt24'
_cell_length_a 7.6121
_cell_length_b 8.6036
_cell_length_c 14.9402
_cell_angle_alpha 90.00
_cell_angle_beta 90.00
_cell_angle_gamma 90.00
_space_group_name_H-M_alt 'F m m m'
_space_group_IT_number 69
_space_group_name_Hall '-F 2 2'
loop_
_atom_site_label
_atom_site_type_symbol
_atom_site_fract_x
_atom_site_fract_y
_atom_site_fract_z
Pu1 Pu 0.2392 0.0000 0.0000
Pu2 Pu 0.2500 0.2500 0.2500
P1 P 0.0000 0.0000 0.3337
Pt1 Pt 0.0000 0.0000 0.1758
Pt2 Pt 0.0000 0.2359 0.4123

(2)
# CrAsP PBE relaxed
# **Excess energy over the best structure of this formula in the dataset**: 0 meV/atom
# **Magnetic moment**: 4.00 μB/cell
# **Calculated formation energy**: -0.196 eV per atom
# **E_tot**: -6.7568 eV/atom
# **D(E_F)**: 0.7 states/eV/cell
data_CrAsP
_chemical_formula_sum 'Cr2 As2 P2'
_cell_length_a 3.0074
_cell_length_b 5.2544
_cell_length_c 6.1418
_cell_angle_alpha 90.00
_cell_angle_beta 90.00
_cell_angle_gamma 90.00
_space_group_name_H-M_alt 'P m n 21'
_space_group_IT_number 31
loop_
_space_group_symop_operation_xyz
'x,y,z'
'-x+1/2,-y,z+1/2'
'-x,y,z'
'x+1/2,-y,z+1/2'
loop_
_atom_site_label
_atom_site_type_symbol
_atom_site_fract_x
_atom_site_fract_y
_atom_site_fract_z
Cr1 Cr 0.0000 0.2296 0.0000
As1 As 0.0000 0.4187 0.3789
P1 P 0.0000 0.0783 0.6300